[1]
Density functional theory data (PBE-GGA) for a relaxed structure of SmY4Rh2.

a b c (Å): 7.861 6.451 7.963
angles (deg): 90.00 112.96 90.00
Fractional coordinates of all 14 atoms:
Sm 0.026 0.250 0.159
Sm 0.974 0.750 0.841
Y 0.240 0.502 0.589
Y 0.240 0.998 0.589
Y 0.336 0.750 0.251
Y 0.383 0.250 0.015
Y 0.617 0.750 0.985
Y 0.664 0.250 0.749
Y 0.760 0.002 0.411
Y 0.760 0.498 0.411
Rh 0.010 0.250 0.739
Rh 0.410 0.250 0.371
Rh 0.590 0.750 0.629
Rh 0.990 0.750 0.261

Results
formation energy: -451 meV/atom
symmetry: P2_1/m, No. 11
DOS(E_F): 8.2 states/eV/f.u.
electronic total energy: -6.92 eV/atom

---

[2]
Density functional theory data (PBE-GGA) for a relaxed structure of Sm2Y3Rh2.

a b c (Å): 6.417 6.417 9.072
angles (deg): 114.87 114.87 34.27
Fractional coordinates of all 7 atoms:
Sm 0.167 0.167 0.307
Sm 0.833 0.833 0.693
Y 0.384 0.384 0.071
Y 0.500 0.500 0.500
Y 0.616 0.616 0.929
Rh 0.176 0.176 0.741
Rh 0.824 0.824 0.259

Results
formation energy: -543 meV/atom
symmetry: C2/m, No. 12
DOS(E_F): 8.0 states/eV/f.u.
electronic total energy: -6.76 eV/atom

---

[3]
Density functional theory data (PBE-GGA) for a relaxed structure of SmYRh4.

a b c (Å): 5.367 5.367 5.367
angles (deg): 60.00 60.00 60.00
Fractional coordinates of all 6 atoms:
Sm 0.000 0.000 0.000
Y 0.750 0.750 0.750
Rh 0.375 0.375 0.375
Rh 0.375 0.375 0.875
Rh 0.375 0.875 0.375
Rh 0.875 0.375 0.375

Results
formation energy: -708 meV/atom
symmetry: F-43m, No. 216
DOS(E_F): 4.1 states/eV/f.u.
electronic total energy: -7.47 eV/atom

---

[4]
Density functional theory data (PBE-GGA) for a relaxed structure of Sm4YRh2.

a b c (Å): 7.964 6.482 8.015
angles (deg): 90.00 113.27 90.00
Fractional coordinates of all 14 atoms:
Sm 0.017 0.250 0.381
Sm 0.249 0.750 0.338
Sm 0.412 0.004 0.767
Sm 0.412 0.496 0.767
Sm 0.588 0.504 0.233
Sm 0.588 0.996 0.233
Sm 0.751 0.250 0.662
Sm 0.983 0.750 0.619
Y 0.155 0.250 0.029
Y 0.845 0.750 0.971
Rh 0.238 0.750 0.991
Rh 0.371 0.250 0.410
Rh 0.629 0.750 0.590
Rh 0.762 0.250 0.009

Results
formation energy: -403 meV/atom
symmetry: P2_1/m, No. 11
DOS(E_F): 8.1 states/eV/f.u.
electronic total energy: -6.12 eV/atom

---

[5]
Density functional theory data (PBE-GGA) for a relaxed structure of Sm3Y4Rh4.

a b c (Å): 9.347 9.347 9.347
angles (deg): 156.39 123.03 62.52
Fractional coordinates of all 11 atoms:
Sm 0.000 0.000 0.000
Sm 0.398 0.898 0.500
Sm 0.602 0.102 0.500
Y 0.021 0.334 0.687
Y 0.353 0.666 0.687
Y 0.647 0.334 0.313
Y 0.979 0.666 0.313
Rh 0.250 0.250 0.000
Rh 0.285 0.500 0.785
Rh 0.715 0.500 0.215
Rh 0.750 0.750 0.000

Results
formation energy: -583 meV/atom
symmetry: Immm, No. 71
DOS(E_F): 8.0 states/eV/f.u.
electronic total energy: -6.89 eV/atom

---

[6]
Density functional theory data (PBE-GGA) for a relaxed structure of SmY3Rh2.

a b c (Å): 8.406 8.406 10.956
angles (deg): 116.90 116.90 29.24
Fractional coordinates of all 12 atoms:
Sm 0.071 0.071 0.180
Sm 0.929 0.929 0.820
Y 0.179 0.179 0.551
Y 0.298 0.298 0.921
Y 0.440 0.440 0.301
Y 0.560 0.560 0.699
Y 0.702 0.702 0.079
Y 0.821 0.821 0.449
Rh 0.120 0.120 0.895
Rh 0.370 0.370 0.634
Rh 0.630 0.630 0.366
Rh 0.880 0.880 0.105

Results
formation energy: -535 meV/atom
symmetry: C2/m, No. 12
DOS(E_F): 5.9 states/eV/f.u.
electronic total energy: -7.00 eV/atom

---

[7]
Density functional theory data (PBE-GGA) for a relaxed structure of SmY2Rh.

a b c (Å): 10.810 10.810 10.810
angles (deg): 19.57 19.57 19.57
Fractional coordinates of all 4 atoms:
Sm 0.000 0.000 0.000
Y 0.112 0.112 0.112
Y 0.888 0.888 0.888
Rh 0.500 0.500 0.500

Results
formation energy: -137 meV/atom
symmetry: R-3m, No. 166
DOS(E_F): 5.7 states/eV/f.u.
offset from the most stable computed form: 359 meV per atom
electronic total energy: -6.39 eV/atom

---

[8]
Density functional theory data (PBE-GGA) for a relaxed structure of Sm3ZnRh.

a b c (Å): 8.279 4.117 8.322
angles (deg): 90.00 109.15 90.00
Fractional coordinates of all 10 atoms:
Sm 0.059 0.250 0.244
Sm 0.321 0.250 0.960
Sm 0.332 0.750 0.600
Sm 0.668 0.250 0.400
Sm 0.679 0.750 0.040
Sm 0.941 0.750 0.756
Zn 0.351 0.750 0.231
Zn 0.649 0.250 0.769
Rh 0.090 0.250 0.617
Rh 0.910 0.750 0.383

Results
formation energy: -392 meV/atom
symmetry: P2_1/m, No. 11
DOS(E_F): 4.8 states/eV/f.u.
offset from the most stable computed form: 38 meV per atom
electronic total energy: -4.95 eV/atom

---

[9]
Density functional theory data (PBE-GGA) for a relaxed structure of Sm7Zn2Rh2.

a b c (Å): 6.778 6.778 7.194
angles (deg): 90.00 90.00 109.47
Fractional coordinates of all 11 atoms:
Sm 0.000 0.000 0.000
Sm 0.000 0.500 0.262
Sm 0.000 0.500 0.738
Sm 0.500 0.000 0.262
Sm 0.500 0.000 0.738
Sm 0.500 0.500 0.256
Sm 0.500 0.500 0.744
Zn 0.165 0.165 0.500
Zn 0.835 0.835 0.500
Rh 0.294 0.706 0.000
Rh 0.706 0.294 0.000

Results
formation energy: -289 meV/atom
symmetry: Cmmm, No. 65
DOS(E_F): 11.4 states/eV/f.u.
electronic total energy: -4.86 eV/atom

---

[10]
Density functional theory data (PBE-GGA) for a relaxed structure of Sm2Zn16Rh.

a b c (Å): 6.812 6.812 6.812
angles (deg): 82.73 82.73 82.73
Fractional coordinates of all 19 atoms:
Sm 0.000 0.000 0.000
Sm 0.330 0.330 0.330
Zn 0.019 0.019 0.515
Zn 0.019 0.515 0.019
Zn 0.164 0.674 0.674
Zn 0.316 0.316 0.831
Zn 0.316 0.831 0.316
Zn 0.383 0.671 0.959
Zn 0.383 0.959 0.671
Zn 0.515 0.019 0.019
Zn 0.568 0.568 0.568
Zn 0.671 0.383 0.959
Zn 0.671 0.959 0.383
Zn 0.674 0.164 0.674
Zn 0.674 0.674 0.164
Zn 0.831 0.316 0.316
Zn 0.959 0.383 0.671
Zn 0.959 0.671 0.383
Rh 0.768 0.768 0.768

Results
formation energy: -285 meV/atom
symmetry: R3m, No. 160
DOS(E_F): 7.8 states/eV/f.u.
electronic total energy: -2.24 eV/atom

---

[11]
Density functional theory data (PBE-GGA) for a relaxed structure of Sm4ZnRh2.

a b c (Å): 8.051 8.051 7.389
angles (deg): 108.88 108.88 113.93
Fractional coordinates of all 14 atoms:
Sm 0.014 0.986 0.500
Sm 0.107 0.463 0.863
Sm 0.371 0.898 0.768
Sm 0.463 0.107 0.363
Sm 0.484 0.628 0.405
Sm 0.628 0.484 0.905
Sm 0.898 0.371 0.268
Sm 0.986 0.014 0.000
Zn 0.602 0.852 0.135
Zn 0.852 0.602 0.635
Rh 0.111 0.729 0.247
Rh 0.247 0.365 0.520
Rh 0.365 0.247 0.020
Rh 0.729 0.111 0.747

Results
formation energy: -488 meV/atom
symmetry: Cc, No. 9
DOS(E_F): 5.7 states/eV/f.u.
electronic total energy: -5.47 eV/atom

---

[12]
Density functional theory data (PBE-GGA) for a relaxed structure of Sm3Zn2Rh7.

a b c (Å): 8.934 8.934 8.934
angles (deg): 35.39 35.39 35.39
Fractional coordinates of all 12 atoms:
Sm 0.000 0.000 0.000
Sm 0.140 0.140 0.140
Sm 0.860 0.860 0.860
Zn 0.334 0.334 0.334
Zn 0.666 0.666 0.666
Rh 0.079 0.584 0.584
Rh 0.416 0.416 0.921
Rh 0.416 0.921 0.416
Rh 0.500 0.500 0.500
Rh 0.584 0.079 0.584
Rh 0.584 0.584 0.079
Rh 0.921 0.416 0.416

Results
formation energy: -621 meV/atom
symmetry: R-3m, No. 166
DOS(E_F): 7.9 states/eV/f.u.
electronic total energy: -6.30 eV/atom

---

Number 1: mass density 6.4 Mg/m³. Number 2: mass density 6.8 Mg/m³. Number 3: mass density 9.9 Mg/m³. Number 4: mass density 7.8 Mg/m³. Number 5: mass density 7.4 Mg/m³. Number 6: mass density 6.2 Mg/m³. Number 7: mass density 5.8 Mg/m³. Number 8: mass density 7.7 Mg/m³. Number 9: mass density 7.4 Mg/m³. Number 10: mass density 7.8 Mg/m³. Number 11: mass density 8.2 Mg/m³. Number 12: mass density 10.1 Mg/m³.